# K3MnOs2O9, relaxed, DFT PBE+U
# Energy = -6.56 eV per atom
# Crystal system = trigonal
data_K3MnOs2O9
_chemical_formula_sum 'K3 Mn1 Os2 O9'
_space_group_name_H-M_alt 'P 1'
_space_group_IT_number 1
_cell_length_a 5.655
_cell_length_b 5.655
_cell_length_c 7.021
_cell_angle_alpha 90.00
_cell_angle_beta 90.00
_cell_angle_gamma 120.00
loop_
_space_group_symop_operation_xyz
'x,y,z'
loop_
_atom_site_label
_atom_site_fract_x
_atom_site_fract_y
_atom_site_fract_z
_atom_site_occupancy
O1 0.352 0.176 0.688 1
K1 0.000 0.000 0.000 1
O2 0.824 0.648 0.688 1
O3 0.176 0.824 0.312 1
Os1 0.667 0.333 0.837 1
O4 0.500 0.000 0.000 1
K2 0.667 0.333 0.341 1
O5 0.824 0.176 0.688 1
Mn1 0.000 0.000 0.500 1
Os2 0.333 0.667 0.163 1
O6 0.176 0.352 0.312 1
O7 0.500 0.500 0.000 1
K3 0.333 0.667 0.659 1
O8 0.000 0.500 0.000 1
O9 0.648 0.824 0.312 1